[1]
The following is a DFT calculation (PBE) of LaNd4Pb5 after structural relaxation.

Cell: 4.2099 4.2099 17.3872 Å, 90.00 90.00 90.00°
Closest atoms and distances in Å follow each position.
Fractional positions:
La1 0.0000 0.0000 0.0000  8 Pb 3.48, 2 Nd 3.49
Nd1 0.0000 0.0000 0.2009  8 Pb 3.42-3.45, 1 Nd 3.47, 1 La 3.49
Nd2 0.0000 0.0000 0.4007  8 Pb 3.44-3.45, 2 Nd 3.45-3.47
Nd3 0.0000 0.0000 0.5993  8 Pb 3.44-3.45, 2 Nd 3.45-3.47
Nd4 0.0000 0.0000 0.7991  8 Pb 3.42-3.45, 1 Nd 3.47, 1 La 3.49
Pb1 0.5000 0.5000 0.1041  4 Nd 3.42, 2 Pb 3.42-3.62, 4 La 3.48
Pb2 0.5000 0.5000 0.3008  2 Pb 3.42-3.46, 8 Nd 3.45
Pb3 0.5000 0.5000 0.5000  8 Nd 3.44, 2 Pb 3.46
Pb4 0.5000 0.5000 0.6992  2 Pb 3.42-3.46, 8 Nd 3.45
Pb5 0.5000 0.5000 0.8959  4 Nd 3.42, 2 Pb 3.42-3.62, 4 La 3.48

Values from the calculation:
calculated volume	308.15	Å³/cell
ΔE_f	-505	meV/atom
ρ	9.44	g cm⁻³

---

[2]
The following is a DFT calculation (PBE) of Y2Sb2Te after structural relaxation.

Cell: 8.2332 8.2332 4.2552 Å, 90.00 90.00 90.00°
Closest atoms and distances in Å follow each position.
Fractional positions:
Y1 0.1676 0.3324 0.0000  2 Te 3.06, 6 Sb 3.17-3.26
Y2 0.3324 0.8324 0.0000  2 Te 3.06, 6 Sb 3.17-3.26
Y3 0.6676 0.1676 0.0000  2 Te 3.06, 6 Sb 3.17-3.26
Y4 0.8324 0.6676 0.0000  2 Te 3.06, 6 Sb 3.17-3.26
Sb1 0.1304 0.6304 0.5000  1 Sb 3.04, 6 Y 3.17-3.26
Sb2 0.3696 0.1304 0.5000  1 Sb 3.04, 6 Y 3.17-3.26
Sb3 0.6304 0.8696 0.5000  1 Sb 3.04, 6 Y 3.17-3.26
Sb4 0.8696 0.3696 0.5000  1 Sb 3.04, 6 Y 3.17-3.26
Te1 0.0000 0.0000 0.0000  4 Y 3.06
Te2 0.5000 0.5000 0.0000  4 Y 3.06

Values from the calculation:
calculated volume	288.44	Å³/cell
formation energy (no corrections)	-0.913	eV per atom
ρ	6.32	g cm⁻³
E above lowest polymorph	0.00	eV per formula unit

---

[3]
The following is a DFT calculation (PBE) of Dy3Er4Al after structural relaxation.

Cell: 3.5071 3.5071 18.9277 Å, 90.00 90.00 90.00°
Closest atoms and distances in Å follow each position.
Fractional positions:
Dy1 0.0000 0.0000 0.0000  4 Dy 3.51, 8 Er 3.53
Dy2 0.0000 0.0000 0.2651  4 Dy 3.51, 8 Er 3.52-3.56
Dy3 0.0000 0.0000 0.7349  4 Dy 3.51, 8 Er 3.52-3.56
Er1 0.5000 0.5000 0.1331  4 Er 3.51, 8 Dy 3.52-3.53
Er2 0.5000 0.5000 0.3997  4 Al 3.12
Er3 0.5000 0.5000 0.6003  4 Al 3.12
Er4 0.5000 0.5000 0.8669  4 Er 3.51, 8 Dy 3.52-3.53
Al1 0.0000 0.0000 0.5000  8 Er 3.12

Values from the calculation:
calculated volume	232.80	Å³/cell
ΔE_f	-86	meV/atom
ρ	8.44	g cm⁻³

---

[4]
The following is a DFT calculation (PBE) of Ta2MoW after structural relaxation.

Cell: 3.2307 4.5426 9.2725 Å, 90.00 90.00 90.00°
Closest atoms and distances in Å follow each position.
Fractional positions:
Ta1 0.0000 0.0000 0.0000  4 Mo 2.79, 2 W 2.84, 2 Ta 2.91
Ta2 0.0000 0.5000 0.2389  4 W 2.79, 2 Mo 2.81, 2 Ta 2.91
Ta3 0.5000 0.0000 0.7389  4 W 2.79, 2 Mo 2.81, 2 Ta 2.91
Ta4 0.5000 0.5000 0.5000  4 Mo 2.79, 2 W 2.84, 2 Ta 2.91
Mo1 0.0000 0.0000 0.4904  2 W 2.74, 6 Ta 2.79-2.81
Mo2 0.5000 0.5000 0.9904  2 W 2.74, 6 Ta 2.79-2.81
W1 0.0000 0.5000 0.7519  2 Mo 2.74, 6 Ta 2.79-2.84
W2 0.5000 0.0000 0.2519  2 Mo 2.74, 6 Ta 2.79-2.84

Values from the calculation:
calculated volume	136.08	Å³/cell
ΔE_f	-150	meV/atom
ρ	15.66	g cm⁻³

---

[5]
The following is a DFT calculation (PBE) of Er2ZnGa4Pt3 after structural relaxation.

Cell: 4.0484 4.0484 11.2696 Å, 90.00 90.00 90.00°
Closest atoms and distances in Å follow each position.
Fractional positions:
Er1 0.0000 0.5000 0.2490  4 Pt 3.10, 8 Ga 3.13-3.46
Er2 0.5000 0.0000 0.7510  4 Pt 3.10, 8 Ga 3.13-3.46
Zn1 0.0000 0.0000 0.5000  4 Ga 2.55
Ga1 0.0000 0.0000 0.0000  4 Pt 2.59, 4 Ga 2.86
Ga2 0.0000 0.5000 0.6377  3 Pt 2.47-2.55, 2 Zn 2.55
Ga3 0.5000 0.0000 0.3623  3 Pt 2.47-2.55, 2 Zn 2.55
Ga4 0.5000 0.5000 0.0000  4 Pt 2.59, 4 Ga 2.86
Pt1 0.0000 0.5000 0.8572  5 Ga 2.47-2.59
Pt2 0.5000 0.0000 0.1428  5 Ga 2.47-2.59
Pt3 0.5000 0.5000 0.5000  4 Ga 2.55

Values from the calculation:
calculated volume	184.70	Å³/cell
ΔE_f	-833	meV/atom
ρ	11.36	g cm⁻³

---

[6]
The following is a DFT calculation (PBE) of Nd13Tm3 after structural relaxation.

Cell: 10.3058 7.2842 7.2842 Å, 89.93 90.00 90.00°
Closest atoms and distances in Å follow each position.
Fractional positions:
Nd1 0.0000 0.0000 0.0000  10 Nd 3.61-3.68, 2 Tm 3.63
Nd2 0.0000 0.0000 0.4950  10 Nd 3.60-3.68, 2 Tm 3.64
Nd3 0.0000 0.4950 0.0000  10 Nd 3.60-3.68, 2 Tm 3.64
Nd4 0.0000 0.4948 0.4948  10 Nd 3.60-3.68, 2 Tm 3.65
Nd5 0.2513 0.7487 0.7487  11 Nd 3.62-3.68, 1 Tm 3.65
Nd6 0.2519 0.2461 0.7486  3 Tm 3.62-3.66, 9 Nd 3.62-3.66
Nd7 0.2519 0.7486 0.2461  3 Tm 3.62-3.66, 9 Nd 3.62-3.66
Nd8 0.5000 0.9996 0.4949  4 Tm 3.60-3.68, 8 Nd 3.61-3.68
Nd9 0.5000 0.4949 0.9996  4 Tm 3.60-3.68, 8 Nd 3.61-3.68
Nd10 0.5000 0.4947 0.4947  10 Nd 3.61-3.68, 2 Tm 3.62
Nd11 0.7481 0.2461 0.7486  3 Tm 3.62-3.66, 9 Nd 3.62-3.66
Nd12 0.7481 0.7486 0.2461  3 Tm 3.62-3.66, 9 Nd 3.62-3.66
Nd13 0.7487 0.7487 0.7487  11 Nd 3.62-3.68, 1 Tm 3.65
Tm1 0.2519 0.2457 0.2457  1 Tm 3.60, 11 Nd 3.61-3.66
Tm2 0.5000 0.0003 0.0003  2 Tm 3.60, 10 Nd 3.60-3.68
Tm3 0.7481 0.2457 0.2457  1 Tm 3.60, 11 Nd 3.61-3.66

Values from the calculation:
calculated volume	546.81	Å³/cell
ΔE_f	15	meV/atom
ρ	7.23	g cm⁻³
E above lowest polymorph	0.00	eV per formula unit

---

[7]
The following is a DFT calculation (PBE) of Ac4Al2Ag5 after structural relaxation.

Cell: 8.1294 4.1576 9.3579 Å, 90.00 95.20 90.00°
Closest atoms and distances in Å follow each position.
Fractional positions:
Ac1 0.2283 0.0000 0.3599  6 Ag 3.39-3.45, 4 Al 3.43-3.51
Ac2 0.2694 0.0000 0.8664  8 Ag 3.26-3.45, 2 Al 3.47
Ac3 0.7306 0.0000 0.1336  8 Ag 3.26-3.45, 2 Al 3.47
Ac4 0.7717 0.0000 0.6401  6 Ag 3.39-3.45, 4 Al 3.43-3.51
Al1 0.4342 0.5000 0.6194  1 Al 2.56, 2 Ag 2.66-2.68
Al2 0.5658 0.5000 0.3806  1 Al 2.56, 2 Ag 2.66-2.68
Ag1 0.0000 0.5000 0.0000  2 Ag 3.29, 4 Ac 3.34
Ag2 0.1073 0.5000 0.6251  1 Al 2.66, 1 Ag 2.79
Ag3 0.3916 0.5000 0.1239  1 Al 2.68
Ag4 0.6084 0.5000 0.8761  1 Al 2.68
Ag5 0.8927 0.5000 0.3749  1 Al 2.66, 1 Ag 2.79

Values from the calculation:
calculated volume	314.98	Å³/cell
ΔE_f	-249	meV/atom
ρ	7.91	g cm⁻³

---

[8]
The following is a DFT calculation (PBE) of Lu2SnC after structural relaxation.

Cell: 3.5389 3.5389 23.1609 Å, 90.00 90.00 120.00°
Closest atoms and distances in Å follow each position.
Fractional positions:
Lu1 0.0000 0.0000 0.2224  3 C 2.42
Lu2 0.0000 0.0000 0.7776  3 C 2.42
Lu3 0.3333 0.6667 0.4442  3 C 2.42
Lu4 0.3333 0.6667 0.8891  3 C 2.42
Lu5 0.6667 0.3333 0.1109  3 C 2.42
Lu6 0.6667 0.3333 0.5558  3 C 2.42
Sn1 0.0000 0.0000 0.0000  6 Lu 3.28, 6 Sn 3.54
Sn2 0.3333 0.6667 0.6667  6 Lu 3.28, 6 Sn 3.54
Sn3 0.6667 0.3333 0.3333  6 Lu 3.28, 6 Sn 3.54
C1 0.0000 0.0000 0.5000  6 Lu 2.42
C2 0.3333 0.6667 0.1667  6 Lu 2.42
C3 0.6667 0.3333 0.8333  6 Lu 2.42

Values from the calculation:
calculated volume	251.20	Å³/cell
ΔE_f	-615	meV/atom
ρ	9.53	g cm⁻³

---

[9]
The following is a DFT calculation (PBE) of Nd3Cd5In after structural relaxation.

Cell: 9.1769 9.1769 6.5261 Å, 90.00 90.00 120.00°
Closest atoms and distances in Å follow each position.
Fractional positions:
Nd1 0.0000 0.3223 0.2500  5 Cd 3.04-3.27, 2 In 3.38
Nd2 0.0000 0.6777 0.7500  5 Cd 3.04-3.27, 2 In 3.38
Nd3 0.3223 0.0000 0.2500  5 Cd 3.04-3.27, 2 In 3.38
Nd4 0.3223 0.3223 0.7500  5 Cd 3.04-3.27, 2 In 3.38
Nd5 0.6777 0.0000 0.7500  5 Cd 3.04-3.27, 2 In 3.38
Nd6 0.6777 0.6777 0.2500  5 Cd 3.04-3.27, 2 In 3.38
Cd1 0.0000 0.3466 0.7500  5 Nd 3.04-3.27
Cd2 0.0000 0.6534 0.2500  5 Nd 3.04-3.27
Cd3 0.3333 0.6667 0.0000  8 Cd 3.26-3.41, 6 Nd 3.51
Cd4 0.3333 0.6667 0.5000  8 Cd 3.26-3.41, 6 Nd 3.51
Cd5 0.3466 0.0000 0.7500  5 Nd 3.04-3.27
Cd6 0.3466 0.3466 0.2500  5 Nd 3.04-3.27
Cd7 0.6534 0.0000 0.2500  5 Nd 3.04-3.27
Cd8 0.6534 0.6534 0.7500  5 Nd 3.04-3.27
Cd9 0.6667 0.3333 0.0000  8 Cd 3.26-3.41, 6 Nd 3.51
Cd10 0.6667 0.3333 0.5000  8 Cd 3.26-3.41, 6 Nd 3.51
In1 0.0000 0.0000 0.0000  2 In 3.26, 6 Nd 3.38, 6 Cd 3.57
In2 0.0000 0.0000 0.5000  2 In 3.26, 6 Nd 3.38, 6 Cd 3.57

Values from the calculation:
calculated volume	475.98	Å³/cell
ΔE_f	-336	meV/atom
ρ	7.74	g cm⁻³

---

[10]
The following is a DFT calculation (PBE) of La3PbO6 after structural relaxation.

Cell: 7.6526 7.6526 5.9834 Å, 90.00 90.00 102.58°
Closest atoms and distances in Å follow each position.
Fractional positions:
La1 0.1019 0.8981 0.5000  7 O 2.41-2.68
La2 0.1882 0.4092 0.5491  6 O 2.40-2.62
La3 0.4092 0.1882 0.0491  6 O 2.40-2.62
La4 0.5908 0.8118 0.5491  6 O 2.40-2.62
La5 0.8118 0.5908 0.0491  6 O 2.40-2.62
La6 0.8981 0.1019 0.0000  7 O 2.41-2.68
Pb1 0.3374 0.6626 0.0630  4 O 2.23-2.36
Pb2 0.6626 0.3374 0.5630  4 O 2.23-2.36
O1 0.0817 0.5999 0.2563  1 Pb 2.23, 1 La 2.40
O2 0.1469 0.1729 0.2741  4 La 2.40-2.48
O3 0.1729 0.1469 0.7741  4 La 2.40-2.48
O4 0.2758 0.7242 0.7034  1 Pb 2.27, 3 La 2.41-2.53
O5 0.4001 0.9183 0.2563  1 Pb 2.23, 1 La 2.40
O6 0.4855 0.5145 0.3232  2 Pb 2.36-2.56, 2 La 2.62
O7 0.5145 0.4855 0.8232  2 Pb 2.36-2.56, 2 La 2.62
O8 0.5999 0.0817 0.7563  1 Pb 2.23, 1 La 2.40
O9 0.7242 0.2758 0.2034  1 Pb 2.27, 3 La 2.41-2.53
O10 0.8271 0.8531 0.2741  4 La 2.40-2.48
O11 0.8531 0.8271 0.7741  4 La 2.40-2.48
O12 0.9183 0.4001 0.7563  1 Pb 2.23, 1 La 2.40

Values from the calculation:
calculated volume	341.99	Å³/cell
formation energy (no corrections)	-2.808	eV per atom
ρ	6.99	g cm⁻³
E above lowest polymorph	0.25	eV per formula unit

---

[11]
The following is a DFT calculation (PBE) of KTePdSe3 after structural relaxation.

Cell: 8.3620 4.3618 10.0432 Å, 90.00 103.72 90.00°
Closest atoms and distances in Å follow each position.
Fractional positions:
K1 0.2013 0.2500 0.2644  1 Pd 3.27, 5 Se 3.37-3.55
K2 0.7987 0.7500 0.7356  1 Pd 3.27, 5 Se 3.37-3.55
Te1 0.3088 0.7500 0.8801  6 Se 2.77-2.97
Te2 0.6912 0.2500 0.1199  6 Se 2.77-2.97
Pd1 0.0883 0.2500 0.5544  3 Se 2.42-2.57
Pd2 0.9117 0.7500 0.4456  3 Se 2.42-2.57
Se1 0.1092 0.2500 0.9188  2 Te 2.83
Se2 0.2166 0.7500 0.5756  3 Pd 2.42-2.57
Se3 0.4644 0.7500 0.1561  3 Te 2.77-2.97
Se4 0.5356 0.2500 0.8439  3 Te 2.77-2.97
Se5 0.7834 0.2500 0.4244  3 Pd 2.42-2.57
Se6 0.8908 0.7500 0.0812  2 Te 2.83

Values from the calculation:
calculated volume	355.85	Å³/cell
formation energy (no corrections)	-0.367	eV per atom
ρ	4.76	g cm⁻³

---

[12]
The following is a DFT calculation (PBE) of Ac3Al2ZnPd6 after structural relaxation.

Cell: 5.9364 5.9364 8.9487 Å, 90.00 90.00 120.00°
Closest atoms and distances in Å follow each position.
Fractional positions:
Ac1 0.0000 0.0000 0.0000  6 Pd 3.13, 6 Al 3.47
Ac2 0.3333 0.6667 0.6402  6 Pd 3.04
Ac3 0.6667 0.3333 0.3598  6 Pd 3.04
Al1 0.3333 0.6667 0.0617  3 Pd 2.61
Al2 0.6667 0.3333 0.9383  3 Pd 2.61
Zn1 0.0000 0.0000 0.5000  6 Pd 2.60
Pd1 0.1728 0.3456 0.2878  1 Zn 2.60, 1 Al 2.61, 2 Pd 2.86
Pd2 0.1728 0.8272 0.2878  1 Zn 2.60, 1 Al 2.61, 2 Pd 2.86
Pd3 0.3456 0.1728 0.7122  1 Zn 2.60, 1 Al 2.61, 2 Pd 2.86
Pd4 0.6544 0.8272 0.2878  1 Zn 2.60, 1 Al 2.61, 2 Pd 2.86
Pd5 0.8272 0.1728 0.7122  1 Zn 2.60, 1 Al 2.61, 2 Pd 2.86
Pd6 0.8272 0.6544 0.7122  1 Zn 2.60, 1 Al 2.61, 2 Pd 2.86

Values from the calculation:
calculated volume	273.11	Å³/cell
ΔE_f	-646	meV/atom
ρ	8.75	g cm⁻³

---

Computed E, in the same sequence as the records: -47.59; -57.76; -36.49; -96.18; -48.96; -75.16; -40.91; -74.19; -49.28; -152.64; -44.17; -60.00 eV/cell.